# 1
InSbSe | PBE | optimized geometry Values from VASP.

## Properties
calculated density = 5.73 g/cm³
formation energy without anion corrections = 149 meV/atom
space-group type = No. 216
magnetization = 0.00 μB/f.u.

```
&SYSTEM
  ibrav = 0, nat = 3, ntyp = 3
/
ATOMIC_SPECIES
Sb 121.76 Sb.upf
In 114.82 In.upf
Se 78.96 Se.upf
ATOMIC_POSITIONS angstrom
Sb -3.040 0.587 -0.023
In -6.080 1.174 -0.047
Se 0.000 0.000 0.000
CELL_PARAMETERS angstrom
-3.522 3.499 -0.959
-4.454 -1.368 -1.964
-4.185 0.217 2.830
```


# 2
Sm12Bi3C5 | PBE | optimized geometry Values from VASP.

## Properties
DFT formation energy = -0.26 eV/atom
calculated density = 7.57 g/cm³
space-group type = No. 230
magnetization = 0.00 μB/f.u.

```
&SYSTEM
  ibrav = 0, nat = 80, ntyp = 3
/
ATOMIC_SPECIES
Sm 150.36 Sm.upf
C 12.01 C.upf
Bi 208.98 Bi.upf
ATOMIC_POSITIONS angstrom
Sm -9.150 7.690 -3.539
C -4.430 -6.857 0.438
Sm -4.470 -5.175 10.832
Sm -6.809 1.149 -5.974
Bi -10.888 -0.376 -1.561
Sm -7.124 7.054 7.002
Sm -8.174 1.549 2.336
Sm -4.645 1.811 -3.078
Sm -3.556 -3.089 7.508
Sm -4.890 -8.255 5.281
C -3.783 2.383 -0.945
Sm -6.463 3.527 5.401
C -2.591 6.574 0.433
C -5.521 3.242 -5.083
Sm -4.857 1.183 0.795
Sm -4.159 4.665 -0.420
Sm -6.179 -5.599 -8.667
C -4.090 3.050 6.387
C -9.116 0.624 -6.135
C -2.930 -3.332 -5.516
C -4.925 -1.189 7.877
Sm -3.126 2.981 3.958
Sm -8.747 2.002 8.072
Bi -3.152 -0.189 3.303
Sm -7.906 0.860 -1.307
Sm -4.575 0.486 6.235
Sm -3.844 6.538 2.727
C -5.367 -3.618 3.522
Sm -10.196 -7.102 -0.985
Bi -5.828 3.908 2.249
Sm -7.609 3.971 -3.689
Sm -5.873 -5.130 1.768
Sm -9.881 -5.230 2.162
Sm -5.293 -2.566 -6.330
Bi -8.212 -4.473 -0.507
Bi -8.024 -9.475 -0.614
Sm -10.759 1.408 5.053
C -1.499 -3.524 5.954
C -7.873 5.433 5.443
Sm -11.011 2.815 -2.098
Bi -4.737 -6.190 7.770
Sm -6.431 -4.536 5.431
Sm -8.292 8.235 0.155
Sm -6.134 -1.425 3.049
Sm -9.183 -1.748 0.947
C -6.167 -5.998 -3.701
Sm -9.570 4.610 -9.090
Sm -6.916 -7.619 -5.260
Sm -3.281 -1.972 -3.312
Bi -6.355 -0.997 -3.593
Sm -4.309 8.338 -0.444
Sm -11.919 0.907 1.332
Sm -3.030 -3.380 3.840
Sm -7.231 -1.714 7.716
C -8.673 3.053 -1.780
Sm -9.395 -2.376 4.820
Bi -9.304 5.625 -6.028
Sm -9.731 -8.902 2.186
Sm -7.577 -4.092 -3.659
C -7.242 2.861 9.690
C 0.000 0.000 0.000
C -7.020 -0.282 0.871
Sm -7.832 6.258 3.220
Bi -6.458 6.481 -1.999
Sm -8.167 4.565 -0.026
Bi -6.016 8.910 2.356
C -10.445 2.053 2.794
Bi -7.582 -7.046 3.741
Sm -6.208 -6.823 -1.478
Sm -7.861 5.034 10.409
Sm -2.122 -1.471 0.410
C -6.798 -3.425 -7.948
Bi -7.685 0.432 5.335
Sm -5.748 -8.800 1.587
Sm -5.866 -2.114 -0.594
C -10.257 -2.948 2.687
Sm -10.914 -3.546 -2.216
C -3.595 -2.618 -1.052
Sm -9.465 -1.051 -4.493
Sm -10.485 2.525 -5.767
CELL_PARAMETERS angstrom
-5.181 13.149 0.866
-5.860 -6.665 -11.033
-2.999 -7.049 11.908
```


# 3
PrHo5Er2 | PBE | optimized geometry Values from VASP.

## Properties
offset from the most stable computed form = 0 meV per atom
DFT formation energy = 0.02 eV/atom
calculated density = 8.59 g/cm³
space-group type = No. 55
magnetization = 0.00 μB/f.u.

```
&SYSTEM
  ibrav = 0, nat = 16, ntyp = 3
/
ATOMIC_SPECIES
Ho 164.93 Ho.upf
Er 167.26 Er.upf
Pr 140.91 Pr.upf
ATOMIC_POSITIONS angstrom
Ho -3.626 3.604 9.958
Ho -3.584 1.060 3.378
Ho -5.536 5.191 7.462
Er -5.583 6.457 10.742
Pr -3.538 -0.224 0.051
Ho 0.000 0.000 0.000
Er -5.519 3.901 4.125
Ho -7.165 3.394 10.045
Ho -3.605 2.332 6.668
Er -1.948 2.858 0.794
Er -2.012 5.414 7.411
Ho -5.500 2.633 0.845
Pr -0.067 2.556 6.617
Ho -0.045 1.270 3.291
Ho -1.995 4.124 4.074
Ho -2.031 6.682 10.691
CELL_PARAMETERS angstrom
-0.320 4.651 -1.800
-7.076 -0.448 0.102
-0.134 5.112 13.235
```


# 4
Pr4NdEr | PBE | optimized geometry Values from VASP.

## Properties
offset from the most stable computed form = 241 meV per atom
DFT formation energy = 0.26 eV/atom
calculated density = 6.69 g/cm³
space-group type = No. 216
magnetization = 0.00 μB/f.u.

```
&SYSTEM
  ibrav = 0, nat = 6, ntyp = 3
/
ATOMIC_SPECIES
Nd 144.24 Nd.upf
Pr 140.91 Pr.upf
Er 167.26 Er.upf
ATOMIC_POSITIONS angstrom
Nd 3.373 1.947 1.377
Pr 6.746 3.895 0.676
Pr 8.443 4.875 3.447
Pr 5.049 4.875 3.447
Er 0.000 0.000 0.000
Pr 6.746 1.935 3.447
CELL_PARAMETERS angstrom
6.746 0.000 0.000
3.373 5.842 0.000
3.373 1.947 5.508
```


# 5
KTc2Hg | PBE | optimized geometry Values from VASP.

## Properties
DFT formation energy = 0.96 eV/atom
calculated density = 7.50 g/cm³
space-group type = No. 47
magnetization = 0.48 μB/f.u.

```
&SYSTEM
  ibrav = 0, nat = 4, ntyp = 3
/
ATOMIC_SPECIES
K 39.10 K.upf
Tc 98.00 Tc.upf
Hg 200.59 Hg.upf
ATOMIC_POSITIONS angstrom
K -2.432 2.907 4.665
Tc 0.196 1.533 2.409
Tc 0.047 0.366 0.575
Hg -2.674 1.009 1.682
CELL_PARAMETERS angstrom
-1.443 2.079 -1.206
-4.149 -1.960 1.585
0.486 3.797 5.967
```


# 6
Ca2Rh | PBE | optimized geometry Values from VASP.

## Properties
DFT formation energy = -0.28 eV/atom
calculated density = 3.72 g/cm³
space-group type = No. 36
magnetization = 0.00 μB/f.u.

```
&SYSTEM
  ibrav = 0, nat = 6, ntyp = 2
/
ATOMIC_SPECIES
Ca 40.08 Ca.upf
Rh 102.91 Rh.upf
ATOMIC_POSITIONS angstrom
Ca 5.105 -5.231 -0.189
Ca 0.728 -1.149 -0.206
Rh 3.487 -12.361 -4.030
Ca 1.833 -4.405 -1.189
Rh 6.638 -9.847 -1.597
Ca 4.226 -8.249 -1.896
CELL_PARAMETERS angstrom
-0.407 -6.787 -1.123
0.847 -5.454 -4.126
6.512 -0.783 2.373
```


# 7
NaCo2Tc | PBE | optimized geometry Values from VASP.

## Properties
offset from the most stable computed form = 0 meV per atom
DFT formation energy = 0.73 eV/atom
calculated density = 7.44 g/cm³
space-group type = No. 225
magnetization = 2.10 μB/f.u.

```
&SYSTEM
  ibrav = 0, nat = 4, ntyp = 3
/
ATOMIC_SPECIES
Co 58.93 Co.upf
Na 22.99 Na.upf
Tc 98.00 Tc.upf
ATOMIC_POSITIONS angstrom
Co 1.494 1.494 1.494
Na 0.000 0.000 0.000
Tc 2.988 2.988 2.988
Co 4.481 4.481 4.481
CELL_PARAMETERS angstrom
0.000 2.988 2.988
2.988 0.000 2.988
2.988 2.988 0.000
```


# 8
AcPrHo2 | PBE | optimized geometry Values from VASP.

## Properties
offset from the most stable computed form = 5 meV per atom
DFT formation energy = 0.05 eV/atom
calculated density = 8.18 g/cm³
space-group type = No. 123
magnetization = 0.00 μB/f.u.

```
&SYSTEM
  ibrav = 0, nat = 4, ntyp = 3
/
ATOMIC_SPECIES
Ho 164.93 Ho.upf
Ac 227.00 Ac.upf
Pr 140.91 Pr.upf
ATOMIC_POSITIONS angstrom
Ho 0.000 0.000 2.408
Ac 1.882 1.882 4.997
Pr 1.882 1.882 0.000
Ho 0.000 0.000 7.586
CELL_PARAMETERS angstrom
3.765 0.000 0.000
0.000 3.765 0.000
0.000 0.000 9.994
```


# 9
Ti2FePtC | PBE | optimized geometry Values from VASP.

## Properties
DFT formation energy = -0.60 eV/atom
calculated density = 9.12 g/cm³
space-group type = No. 123
magnetization = 1.33 μB/f.u.

```
&SYSTEM
  ibrav = 0, nat = 5, ntyp = 4
/
ATOMIC_SPECIES
Ti 47.87 Ti.upf
Fe 55.84 Fe.upf
Pt 195.08 Pt.upf
C 12.01 C.upf
ATOMIC_POSITIONS angstrom
Ti 2.093 0.000 0.000
Fe 0.000 0.000 1.865
Pt 2.093 2.093 1.865
Ti 0.000 2.093 0.000
C 0.000 0.000 0.000
CELL_PARAMETERS angstrom
4.185 0.000 0.000
0.000 4.185 0.000
0.000 0.000 3.729
```


# 10
SrPCO2 | PBE | optimized geometry Values from VASP.

## Properties
offset from the most stable computed form = 1504 meV per atom
calculated density = 1.90 g/cm³
formation energy without anion corrections = 1578 meV/atom
space-group type = No. 123
magnetization = 4.44 μB/f.u.

```
&SYSTEM
  ibrav = 0, nat = 5, ntyp = 4
/
ATOMIC_SPECIES
C 12.01 C.upf
P 30.97 P.upf
O 16.00 O.upf
Sr 87.62 Sr.upf
ATOMIC_POSITIONS angstrom
C 2.202 2.202 3.655
P 0.000 0.000 3.655
O 0.000 2.202 0.000
O 2.202 0.000 0.000
Sr 0.000 0.000 0.000
CELL_PARAMETERS angstrom
4.404 0.000 0.000
0.000 4.404 0.000
0.000 0.000 7.309
```


# 11
YAlCr | PBE | optimized geometry Values from VASP.

## Properties
DFT formation energy = -0.09 eV/atom
calculated density = 4.87 g/cm³
space-group type = No. 44
magnetization = 0.21 μB/f.u.

```
&SYSTEM
  ibrav = 0, nat = 12, ntyp = 3
/
ATOMIC_SPECIES
Al 26.98 Al.upf
Y 88.91 Y.upf
Cr 52.00 Cr.upf
ATOMIC_POSITIONS angstrom
Al -1.849 -4.785 2.555
Y -3.177 -3.433 5.303
Y -1.289 0.109 1.600
Cr -0.707 -1.557 5.899
Cr -1.180 -2.894 0.626
Cr 0.914 -4.485 2.421
Al -4.816 -0.833 4.879
Y 1.702 -1.305 1.496
Cr -2.053 -0.534 4.745
Al -0.696 -2.402 3.322
Al -6.024 -3.330 4.076
Y -3.626 -2.233 2.250
CELL_PARAMETERS angstrom
-2.361 -4.879 -1.570
3.440 -2.614 2.949
-4.855 0.410 6.027
```


# 12
Sr2TaAl | PBE | optimized geometry Values from VASP.

## Properties
DFT formation energy = 0.57 eV/atom
calculated density = 5.31 g/cm³
space-group type = No. 38
magnetization = 0.03 μB/f.u.

```
&SYSTEM
  ibrav = 0, nat = 4, ntyp = 3
/
ATOMIC_SPECIES
Sr 87.62 Sr.upf
Al 26.98 Al.upf
Ta 180.95 Ta.upf
ATOMIC_POSITIONS angstrom
Sr -2.392 0.331 2.687
Al -2.496 -0.332 5.928
Sr -0.596 -2.378 7.856
Ta -0.495 -1.721 4.598
CELL_PARAMETERS angstrom
-4.492 1.992 0.262
-1.275 -3.040 1.261
0.680 0.603 7.062
```